A:
VASP calculation (PBE) on a geometry-optimized KIn2Cl structure.

- crystal system = orthorhombic

Lattice parameters (Å, degrees): 3.547 5.945 6.352 90.00 90.00 90.00
Space group Pmmm (No. 47)
Unique sites:
K  0.000  0.000  0.000
In  0.500  0.256  0.500
Cl  0.000  0.500  0.000

***

B:
VASP calculation (PBE) on a geometry-optimized KIn2Cl structure.

- crystal system = tetragonal

Lattice parameters (Å, degrees): 3.543 3.543 10.078 90.00 90.00 90.00
Space group P4/mmm (No. 123)
Unique sites:
K  0.000  0.000  0.000
In  0.500  0.500  0.289
Cl  0.000  0.000  0.500

***

C:
VASP calculation (PBE) on a geometry-optimized KIn2Cl structure.

- crystal system = orthorhombic

Lattice parameters (Å, degrees): 3.918 4.346 8.604 90.00 90.00 90.00
Space group Pmm2 (No. 25)
Unique sites:
K  0.000  0.000  0.000
In  0.000  0.000  0.442
In  0.500  0.500  0.569
Cl  0.500  0.500  0.912

***

D:
VASP calculation (PBE) on a geometry-optimized KIn2Cl structure.

- crystal system = tetragonal

Lattice parameters (Å, degrees): 4.305 4.305 31.085 90.00 90.00 90.00
Space group I-42d (No. 122)
Unique sites:
K  0.000  0.000  0.000
In  0.247  0.250  0.625
Cl  0.000  0.000  0.500

***

Which structure is the least stable? The one labeled B.

***

A:
VASP calculation (PBE) on a geometry-optimized KIn2Cl structure.

- crystal system = cubic

Lattice parameters (Å, degrees): 7.894 7.894 7.894 90.00 90.00 90.00
Space group F-43m (No. 216)
Unique sites:
K  0.000  0.000  0.000
In  0.000  0.000  0.500
In  0.250  0.250  0.750
Cl  0.250  0.250  0.250

***

B:
VASP calculation (PBE) on a geometry-optimized KIn2Cl structure.

- crystal system = orthorhombic

Lattice parameters (Å, degrees): 3.858 6.258 10.566 90.00 90.00 90.00
Space group Cmmm (No. 65)
Unique sites:
K  0.000  0.000  0.000
In  0.000  0.500  0.287
Cl  0.000  0.000  0.500

***

Which structure is the least stable? The one labeled B.

***

A:
VASP calculation (PBE) on a geometry-optimized KInCl2 structure.

- crystal system = trigonal

Lattice parameters (Å, degrees): 4.5373 4.5373 22.2893 90.00 90.00 120.00
Space group R-3m (No. 166, hexagonal axes)
Unique sites:
K  0.0000  0.0000  0.0000
In  0.0000  0.0000  0.5000
Cl  0.0000  0.0000  0.2522

***

B:
VASP calculation (PBE) on a geometry-optimized KInCl2 structure.

- crystal system = trigonal

Lattice parameters (Å, degrees): 4.8843 4.8843 26.9507 90.00 90.00 120.00
Space group R-3m (No. 166, hexagonal axes)
Unique sites:
K  0.0000  0.0000  0.0000
In  0.0000  0.0000  0.5000
Cl  0.0000  0.0000  0.1050

***

C:
VASP calculation (PBE) on a geometry-optimized KInCl2 structure.

- crystal system = orthorhombic

Lattice parameters (Å, degrees): 4.540 6.393 4.536 90.00 90.00 90.00
Space group Pmm2 (No. 25)
Unique sites:
K  0.000  0.000  0.000
In  0.500  0.500  0.502
Cl  0.000  0.500  0.008
Cl  0.500  0.000  0.500

***

D:
VASP calculation (PBE) on a geometry-optimized KInCl2 structure.

- crystal system = trigonal

Lattice parameters (Å, degrees): 4.4227 4.4227 23.3547 90.00 90.00 120.00
Space group R3m (No. 160, hexagonal axes)
Unique sites:
K  0.0000  0.0000  0.0000
In  0.0000  0.0000  0.8318
Cl  0.0000  0.0000  0.4133
Cl  0.0000  0.0000  0.5856

***

Which structure is the least stable? The one labeled B.